1.
Computed, not measured: an optimized crystal structure of Lu5Th at the PBE-GGA level of DFT.

Density = 10.19 Mg/m³

The structure in CIF format:
```
data_Lu5Th
_cell_length_a 4.9488
_cell_length_b 4.9284
_cell_length_c 7.7971
_cell_angle_alpha 108.42
_cell_angle_beta 90.00
_cell_angle_gamma 90.00
_symmetry_space_group_name_H-M 'P 1'
_symmetry_Int_Tables_number 1
loop_
_symmetry_equiv_pos_as_xyz
'x,y,z'
loop_
_atom_site_label
_atom_site_type_symbol
_atom_site_fract_x
_atom_site_fract_y
_atom_site_fract_z
Lu1 Lu 0.0000 0.6670 0.3340
Lu2 Lu 0.5000 0.8349 0.6699
Lu3 Lu 0.0000 0.3330 0.6660
Lu4 Lu 0.5000 0.5000 0.0000
Lu5 Lu 0.5000 0.1651 0.3301
Th1 Th 0.0000 0.0000 0.0000
```


2.
Computed, not measured: an optimized crystal structure of Ta2VIn at the PBE-GGA level of DFT.

Density = 11.86 Mg/m³

The structure in CIF format:
```
data_Ta2VIn
_cell_length_a 3.0871
_cell_length_b 3.0871
_cell_length_c 9.1308
_cell_angle_alpha 80.27
_cell_angle_beta 80.27
_cell_angle_gamma 60.00
_symmetry_space_group_name_H-M 'P 1'
_symmetry_Int_Tables_number 1
loop_
_symmetry_equiv_pos_as_xyz
'x,y,z'
loop_
_atom_site_label
_atom_site_type_symbol
_atom_site_fract_x
_atom_site_fract_y
_atom_site_fract_z
Ta1 Ta 0.2597 0.2597 0.2208
Ta2 Ta 0.7403 0.7403 0.7792
In1 In 0.5000 0.5000 0.5000
V1 V 0.0000 0.0000 0.0000
```


Respective uncorrected energy values: -4.967; -8.602 eV per atom.
Respective size of the total moment values: 0.00; 0.00 μB per formula unit.